(1)
The following is a DFT calculation (PBE) of ErPt8N2 after structural relaxation.

a = 6.855 Å, b = 6.855 Å, c = 9.563 Å
α = 130.40°, β = 130.40°, γ = 29.60°
Fractional positions:
Er 0.500 0.500 0.000
N 0.203 0.203 0.184
N 0.797 0.797 0.816
Pt 0.859 0.859 0.080
Pt 0.826 0.826 0.332
Pt 0.146 0.146 0.337
Pt 0.511 0.511 0.372
Pt 0.489 0.489 0.628
Pt 0.854 0.854 0.663
Pt 0.174 0.174 0.668
Pt 0.141 0.141 0.920

total energy = -6.390 eV per atom
size of the total moment = 0.0 Bohr magnetons per cell
SG = No. 12
calculated density = 17.7 g/cm3



(2)
The following is a DFT calculation (PBE) of Er3S2N after structural relaxation.

a = 3.646 Å, b = 3.646 Å, c = 9.432 Å
α = 90.00°, β = 90.00°, γ = 120.00°
Fractional positions:
Er 0.333 0.667 0.135
Er 0.000 0.000 0.500
Er 0.667 0.333 0.865
N 0.000 0.000 0.000
S 0.667 0.333 0.321
S 0.333 0.667 0.679

total energy = -6.918 eV per atom
size of the total moment = 0.0 Bohr magnetons per cell
SG = No. 164
calculated density = 8.9 g/cm3



(3)
The following is a DFT calculation (PBE) of Er3SbN2 after structural relaxation.

a = 3.497 Å, b = 3.497 Å, c = 10.083 Å
α = 90.00°, β = 90.00°, γ = 120.00°
Fractional positions:
Er 0.333 0.667 0.238
Er 0.000 0.000 0.500
Er 0.667 0.333 0.762
N 0.667 0.333 0.358
N 0.333 0.667 0.642
Sb 0.000 0.000 0.000

total energy = -7.156 eV per atom
size of the total moment = 0.0 Bohr magnetons per cell
SG = No. 164
calculated density = 10.1 g/cm3



(4)
The following is a DFT calculation (PBE) of ErSeN3 after structural relaxation.

a = 5.621 Å, b = 3.867 Å, c = 6.739 Å
α = 90.00°, β = 111.15°, γ = 90.00°
Fractional positions:
Er 0.490 0.250 0.229
Er 0.510 0.750 0.771
N 0.693 0.750 0.129
N 0.300 0.750 0.309
N 0.955 0.250 0.385
N 0.045 0.750 0.615
N 0.700 0.250 0.691
N 0.307 0.250 0.871
Se 0.000 0.750 0.326
Se 0.000 0.250 0.674

total energy = -6.528 eV per atom
size of the total moment = 0.0 Bohr magnetons per cell
SG = No. 11
calculated density = 7.0 g/cm3



(5)
The following is a DFT calculation (PBE) of ErSeN after structural relaxation.

a = 6.824 Å, b = 6.824 Å, c = 4.140 Å
α = 90.00°, β = 90.00°, γ = 120.00°
Site moments in Bohr magnetons follow the coordinates.
Fractional positions:
Er 0.357 0.000 0.000  0.00
Er 0.000 0.357 0.000  0.01
Er 0.643 0.643 0.000  0.00
N 0.667 0.333 0.000  0.13
N 0.333 0.667 0.000  0.13
N 0.000 0.000 0.500  0.03
Se 0.692 0.000 0.500  0.04
Se 0.308 0.308 0.500  0.04
Se 0.000 0.692 0.500  0.04

total energy = -5.985 eV per atom
size of the total moment = 0.6 Bohr magnetons per cell
SG = No. 189
calculated density = 7.8 g/cm3



(6)
The following is a DFT calculation (PBE) of Er3Se2N after structural relaxation.

a = 3.716 Å, b = 3.716 Å, c = 9.953 Å
α = 90.00°, β = 90.00°, γ = 120.00°
Fractional positions:
Er 0.000 0.000 0.000
Er 0.667 0.333 0.376
Er 0.333 0.667 0.624
N 0.000 0.000 0.500
Se 0.333 0.667 0.184
Se 0.667 0.333 0.816

total energy = -6.496 eV per atom
size of the total moment = 0.0 Bohr magnetons per cell
SG = No. 164
calculated density = 9.4 g/cm3



(7)
The following is a DFT calculation (PBE) of Sm2ErN3 after structural relaxation.

a = 3.516 Å, b = 3.516 Å, c = 8.607 Å
α = 90.00°, β = 90.00°, γ = 120.00°
Fractional positions:
Er 0.000 0.000 0.500
N 0.000 0.000 0.000
N 0.333 0.667 0.342
N 0.667 0.333 0.658
Sm 0.667 0.333 0.171
Sm 0.333 0.667 0.829

total energy = -8.062 eV per atom
size of the total moment = 0.0 Bohr magnetons per cell
SG = No. 164
calculated density = 9.2 g/cm3



(8)
The following is a DFT calculation (PBE) of Er4TlSnN2 after structural relaxation.

a = 3.493 Å, b = 3.493 Å, c = 15.398 Å
α = 90.00°, β = 90.00°, γ = 120.00°
Fractional positions:
Er 0.667 0.333 0.163
Er 0.000 0.000 0.332
Er 0.000 0.000 0.668
Er 0.667 0.333 0.837
N 0.333 0.667 0.247
N 0.333 0.667 0.753
Sn 0.000 0.000 0.000
Tl 0.667 0.333 0.500

total energy = -6.271 eV per atom
size of the total moment = 0.0 Bohr magnetons per cell
SG = No. 187
calculated density = 10.4 g/cm3



(9)
The following is a DFT calculation (PBE) of ErTmSnN after structural relaxation.

a = 3.481 Å, b = 3.481 Å, c = 15.165 Å
α = 90.00°, β = 90.00°, γ = 120.00°
Fractional positions:
Er 0.000 0.000 0.335
Er 0.000 0.000 0.665
N 0.333 0.667 0.249
N 0.333 0.667 0.751
Sn 0.000 0.000 0.000
Sn 0.667 0.333 0.500
Tm 0.667 0.333 0.165
Tm 0.667 0.333 0.835

total energy = -6.544 eV per atom
size of the total moment = 0.0 Bohr magnetons per cell
SG = No. 187
calculated density = 9.8 g/cm3



(10)
The following is a DFT calculation (PBE) of ErTmSnN after structural relaxation.

a = 3.480 Å, b = 3.480 Å, c = 15.163 Å
α = 90.00°, β = 90.00°, γ = 120.00°
Fractional positions:
Er 0.333 0.667 0.414
Er 0.667 0.333 0.586
N 0.000 0.000 0.000
N 0.000 0.000 0.500
Sn 0.667 0.333 0.249
Sn 0.333 0.667 0.751
Tm 0.333 0.667 0.085
Tm 0.667 0.333 0.915

total energy = -6.543 eV per atom
size of the total moment = 0.0 Bohr magnetons per cell
SG = No. 164
calculated density = 9.8 g/cm3



(11)
The following is a DFT calculation (PBE) of Er3TmSn2N2 after structural relaxation.

a = 3.486 Å, b = 3.486 Å, c = 15.190 Å
α = 90.00°, β = 90.00°, γ = 120.00°
Fractional positions:
Er 0.333 0.667 0.414
Er 0.667 0.333 0.585
Er 0.667 0.333 0.915
N 0.000 0.000 0.001
N 0.000 0.000 0.500
Sn 0.667 0.333 0.249
Sn 0.333 0.667 0.750
Tm 0.333 0.667 0.085

total energy = -6.552 eV per atom
size of the total moment = 0.0 Bohr magnetons per cell
SG = No. 156
calculated density = 9.7 g/cm3



(12)
The following is a DFT calculation (PBE) of ErTm3Tl2N2 after structural relaxation.

a = 3.479 Å, b = 3.479 Å, c = 15.509 Å
α = 90.00°, β = 90.00°, γ = 120.00°
Fractional positions:
Er 0.000 0.000 0.084
N 0.667 0.333 0.500
N 0.667 0.333 0.999
Tl 0.333 0.667 0.251
Tl 0.000 0.000 0.750
Tm 0.000 0.000 0.417
Tm 0.333 0.667 0.584
Tm 0.333 0.667 0.916

total energy = -5.954 eV per atom
size of the total moment = 0.0 Bohr magnetons per cell
SG = No. 156
calculated density = 11.3 g/cm3